A crystal of RbLiVP2O8 relaxed with PBEsol, computed with SCAN.

Properties
SG: P2_1/c (14)
uncorrected energy: -144.3 eV/f.u.

abc: 4.8358 8.6648 16.2763
angles: 90.00 96.32 90.00
Each line ends with the local moment (μB).
Sites, in units of the cell vectors:
Rb (0.9289, 0.6150, 0.5997)  0.00
Rb (0.0711, 0.1150, 0.9003)  0.00
Rb (0.9289, 0.8850, 0.0997)  0.00
Rb (0.0711, 0.3850, 0.4003)  0.00
Li (0.7474, 0.4353, 0.9799)  0.00
Li (0.7474, 0.0647, 0.4799)  0.00
Li (0.2526, 0.9353, 0.5201)  0.00
Li (0.2526, 0.5647, 0.0201)  0.00
V (0.9196, 0.5374, 0.8344)  1.02
V (0.9196, 0.9626, 0.3344)  1.02
V (0.0804, 0.0374, 0.6656)  1.02
V (0.0804, 0.4626, 0.1656)  1.02
P (0.5720, 0.2449, 0.5921)  0.00
P (0.6198, 0.8551, 0.7609)  0.00
P (0.5720, 0.2551, 0.0921)  0.00
P (0.6198, 0.6449, 0.2609)  0.00
P (0.3802, 0.3551, 0.7391)  0.00
P (0.4280, 0.7449, 0.9079)  0.00
P (0.3802, 0.1449, 0.2391)  0.00
P (0.4280, 0.7551, 0.4079)  0.00
O (0.5743, 0.8808, 0.8587)  0.00
O (0.6589, 0.3787, 0.7909)  0.01
O (0.6199, 0.6031, 0.9078)  0.01
O (0.5743, 0.6192, 0.3587)  0.00
O (0.6008, 0.2939, 0.5042)  0.00
O (0.7134, 0.6888, 0.7510)  -0.01
O (0.6589, 0.1213, 0.2909)  0.01
O (0.6199, 0.8969, 0.4078)  0.01
O (0.6008, 0.2061, 0.0042)  0.00
O (0.7134, 0.8112, 0.2510)  -0.01
O (0.8555, 0.2241, 0.6421)  0.01
O (0.8348, 0.9792, 0.7487)  0.01
O (0.9320, 0.9451, 0.5823)  -0.10
O (0.8555, 0.2759, 0.1421)  0.01
O (0.8348, 0.5208, 0.2487)  0.01
O (0.0680, 0.4451, 0.9177)  -0.10
O (0.9320, 0.5549, 0.0823)  -0.10
O (0.1652, 0.4792, 0.7513)  0.01
O (0.1445, 0.7241, 0.8579)  0.01
O (0.0680, 0.0549, 0.4177)  -0.10
O (0.1652, 0.0208, 0.2513)  0.01
O (0.1445, 0.7759, 0.3579)  0.01
O (0.2866, 0.1888, 0.7490)  -0.01
O (0.3992, 0.7939, 0.9958)  0.00
O (0.3801, 0.1031, 0.5922)  0.01
O (0.3411, 0.8787, 0.7091)  0.01
O (0.2866, 0.3112, 0.2490)  -0.01
O (0.3992, 0.7061, 0.4958)  0.00
O (0.4257, 0.3808, 0.6413)  0.00
O (0.3801, 0.3969, 0.0922)  0.01
O (0.3411, 0.6213, 0.2091)  0.01
O (0.4257, 0.1192, 0.1413)  0.00